Entry 1:
Below is an optimized crystal structure of PrInIr2, with properties calculated at the PBE-GGA level.

abc: 4.6408 4.6408 14.5847
angles: 90.00 90.00 120.00
Space group R-3m (No. 166, hexagonal axes)
One atom of each set of equivalent atoms:
Pr 0.0000 0.0000 0.0000
In 0.0000 0.0000 0.5000
Ir 0.0000 0.0000 0.1975

Computed properties:
Total DFT energy (no corrections): -6.578 eV/atom
Fermi-level density of states: 10.0 states/eV per cell
ΔH_f (0 K): -0.268 eV per atom
Crystal system: trigonal
Total magnetic moment: 0.00 Bohr magnetons per cell

---

Entry 2:
Below is an optimized crystal structure of Pr4In3Ir, with properties calculated at the PBE-GGA level.

abc: 3.6912 3.6912 16.4513
angles: 90.00 90.00 90.00
Space group P4/mmm (No. 123)
One atom of each set of equivalent atoms:
Pr 0.0000 0.0000 0.1021
Pr 0.0000 0.0000 0.3679
In 0.5000 0.5000 0.2395
In 0.5000 0.5000 0.5000
Ir 0.5000 0.5000 0.0000

Computed properties:
Total DFT energy (no corrections): -5.020 eV/atom
Fermi-level density of states: 5.3 states/eV per cell
ΔH_f (0 K): -0.496 eV per atom
Crystal system: tetragonal
Total magnetic moment: 0.00 Bohr magnetons per cell

---

Entry 3:
Below is an optimized crystal structure of Pr5InIr, with properties calculated at the PBE-GGA level.

abc: 9.7834 7.8442 11.9641
angles: 90.00 105.70 90.00
Space group C2/c (No. 15)
One atom of each set of equivalent atoms:
Pr 0.0000 0.0130 0.2500
Pr 0.1159 0.3316 0.5522
Pr 0.2447 0.1885 0.1309
In 0.0000 0.4241 0.2500
Ir 0.0000 0.0000 0.0000

Computed properties:
Total DFT energy (no corrections): -5.324 eV/atom
Fermi-level density of states: 32.0 states/eV per cell
ΔH_f (0 K): -0.253 eV per atom
Crystal system: monoclinic
Total magnetic moment: 0.00 Bohr magnetons per cell

---

Entry 4:
Below is an optimized crystal structure of PrInIr, with properties calculated at the PBE-GGA level.

abc: 4.6451 4.6451 3.9077
angles: 90.00 90.00 120.00
Space group P3m1 (No. 156)
One atom of each set of equivalent atoms:
Pr 0.0000 0.0000 0.0000
In 0.6667 0.3333 0.4998
Ir 0.3333 0.6667 0.4984

Computed properties:
Total DFT energy (no corrections): -5.861 eV/atom
Fermi-level density of states: 2.9 states/eV per cell
ΔH_f (0 K): -0.401 eV per atom
Crystal system: trigonal
Total magnetic moment: 0.00 Bohr magnetons per cell

---

Entry 5:
Below is an optimized crystal structure of PrIn3Ir, with properties calculated at the PBE-GGA level.

abc: 9.0116 10.9635 10.0682
angles: 90.00 90.00 90.00
Space group Cmcm (No. 63)
One atom of each set of equivalent atoms:
Pr 0.0000 0.1303 0.2500
Pr 0.0000 0.3665 0.7500
In 0.0000 0.1261 0.5666
In 0.1822 0.5000 0.0000
In 0.2243 0.3556 0.2500
Ir 0.2500 0.2500 0.0000

Computed properties:
Total DFT energy (no corrections): -4.587 eV/atom
Fermi-level density of states: 21.9 states/eV per cell
ΔH_f (0 K): -0.216 eV per atom
Crystal system: orthorhombic
Total magnetic moment: 0.00 Bohr magnetons per cell

---

Entry 6:
Below is an optimized crystal structure of Pr6InIr2, with properties calculated at the PBE-GGA level.

abc: 9.7313 10.0728 10.9047
angles: 90.00 90.00 90.00
Space group Immm (No. 71)
One atom of each set of equivalent atoms:
Pr 0.0000 0.2021 0.2349
Pr 0.1900 0.5000 0.1684
Pr 0.2074 0.3204 0.5000
In 0.0000 0.0000 0.0000
In 0.0000 0.0000 0.5000
Ir 0.0000 0.3300 0.0000
Ir 0.0000 0.5000 0.3673

Computed properties:
Total DFT energy (no corrections): -5.930 eV/atom
Fermi-level density of states: 29.6 states/eV per cell
ΔH_f (0 K): -0.471 eV per atom
Crystal system: orthorhombic
Energy above the lowest structure with this stoichiometry: 0 meV per atom
Total magnetic moment: 0.00 Bohr magnetons per cell

---

Entry 7:
Below is an optimized crystal structure of Pr5In2Ir2, with properties calculated at the PBE-GGA level.

abc: 16.3556 7.4324 8.5717
angles: 90.00 90.00 90.00
Space group Cmce (No. 64)
One atom of each set of equivalent atoms:
Pr 0.0000 0.0000 0.0000
Pr 0.1200 0.1679 0.3164
In 0.2167 0.0000 0.0000
Ir 0.0000 0.1226 0.6193

Computed properties:
Total DFT energy (no corrections): -5.719 eV/atom
Fermi-level density of states: 26.8 states/eV per cell
ΔH_f (0 K): -0.486 eV per atom
Crystal system: orthorhombic
Total magnetic moment: 0.00 Bohr magnetons per cell

---

Entry 8:
Below is an optimized crystal structure of Pr8In2Ir3, with properties calculated at the PBE-GGA level.

abc: 9.1969 5.1042 9.2088
angles: 90.00 111.87 90.00
Space group P2/m (No. 10)
One atom of each set of equivalent atoms:
Pr 0.1105 0.0000 0.3893
Pr 0.1422 0.5000 0.8675
Pr 0.3669 0.5000 0.6425
Pr 0.3876 0.0000 0.1129
In 0.2443 0.5000 0.2566
Ir 0.2432 0.0000 0.7436
Ir 0.5000 0.5000 0.0000

Computed properties:
Total DFT energy (no corrections): -5.778 eV/atom
Fermi-level density of states: 12.5 states/eV per cell
ΔH_f (0 K): -0.371 eV per atom
Crystal system: monoclinic
Total magnetic moment: 0.00 Bohr magnetons per cell

---

Entry 9:
Below is an optimized crystal structure of Pr4InIr, with properties calculated at the PBE-GGA level.

abc: 9.0169 13.8810 6.2070
angles: 90.00 108.69 90.00
Space group C2/c (No. 15)
One atom of each set of equivalent atoms:
Pr 0.1120 0.1757 0.0560
Pr 0.2191 0.4242 0.3817
In 0.0000 0.3783 0.7500
Ir 0.0000 0.0018 0.7500

Computed properties:
Total DFT energy (no corrections): -5.524 eV/atom
Fermi-level density of states: 27.4 states/eV per cell
ΔH_f (0 K): -0.404 eV per atom
Crystal system: monoclinic
Energy above the lowest structure with this stoichiometry: 70 meV per atom
Total magnetic moment: 0.00 Bohr magnetons per cell

---

Entry 10:
Below is an optimized crystal structure of PrIn2Ir2, with properties calculated at the PBE-GGA level.

abc: 4.8680 6.1182 7.1124
angles: 90.00 90.00 90.00
Space group Immm (No. 71)
One atom of each set of equivalent atoms:
Pr 0.0000 0.0000 0.0000
In 0.0000 0.5000 0.2010
Ir 0.0000 0.2068 0.5000

Computed properties:
Total DFT energy (no corrections): -5.932 eV/atom
Fermi-level density of states: 4.6 states/eV per cell
ΔH_f (0 K): -0.336 eV per atom
Crystal system: orthorhombic
Total magnetic moment: 0.00 Bohr magnetons per cell

---

Entry 11:
Below is an optimized crystal structure of Pr4InIr, with properties calculated at the PBE-GGA level.

abc: 14.2282 14.2282 14.2282
angles: 90.00 90.00 90.00
Space group F-43m (No. 216)
One atom of each set of equivalent atoms:
Pr 0.0000 0.0000 0.1904
Pr 0.0576 0.2500 0.2500
Pr 0.0985 0.0985 0.5985
In 0.1690 0.1690 0.8310
Ir 0.1086 0.1086 0.3914

Computed properties:
Total DFT energy (no corrections): -5.593 eV/atom
Fermi-level density of states: 80.1 states/eV per cell
ΔH_f (0 K): -0.474 eV per atom
Crystal system: cubic
Energy above the lowest structure with this stoichiometry: 0 meV per atom
Total magnetic moment: 0.00 Bohr magnetons per cell

---

Entry 12:
Below is an optimized crystal structure of Pr2InIr, with properties calculated at the PBE-GGA level.

abc: 7.0967 4.1076 8.6536
angles: 90.00 105.96 90.00
Space group C2/m (No. 12)
One atom of each set of equivalent atoms:
Pr 0.2327 0.0000 0.1978
In 0.0000 0.0000 0.5000
Ir 0.0000 0.5000 0.0000

Computed properties:
Total DFT energy (no corrections): -5.727 eV/atom
Fermi-level density of states: 4.7 states/eV per cell
ΔH_f (0 K): -0.437 eV per atom
Crystal system: monoclinic
Energy above the lowest structure with this stoichiometry: 111 meV per atom
Total magnetic moment: 0.00 Bohr magnetons per cell